An optimized crystal structure of Tb2Pm2Si, computed with GGA-PBE.

Cell lengths 4.174, 4.174, 17.982 Å; angles 90.00, 90.00, 90.00 degrees
Space group I4/mmm (No. 139)
Inequivalent atoms, fractional coordinates:
Tb (0.000, 0.500, 0.250)
Pm (0.000, 0.000, 0.082)
Si (0.000, 0.000, 0.500)

Values from the calculation:
M_tot (μB per atom): 0.00
Raw formation energy (meV/atom): 331.5